Entry 1:
Computed, not measured: a PBEsol-optimized structure of HfNbFe2Pd at the meta-GGA SCAN level of DFT.

a b c (Å): 4.321 4.321 4.988
angles (deg): 90.00 90.00 90.00
Atoms (fractional coordinates):
Nb1 0.000 0.000 0.000
Hf1 0.000 0.000 0.500
Fe1 0.000 0.500 0.000
Fe2 0.500 0.000 0.000
Pd1 0.500 0.500 0.500

Summary:
E (eV per cell): -158.0
Symmetry: P4/mmm (123)
M_tot (Bohr magnetons per cell): 2.760
Density of states at the Fermi level (states/eV per atom): 0.7463
Calculated formation energy (eV per formula unit): 6.88



Entry 2:
Computed, not measured: a PBEsol-optimized structure of RbHfFeNi2 at the meta-GGA SCAN level of DFT.

a b c (Å): 4.373 4.373 4.978
angles (deg): 90.00 90.00 90.00
Atoms (fractional coordinates):
Ni1 0.000 0.500 0.000
Ni2 0.500 0.000 0.000
Hf1 0.000 0.000 0.500
Fe1 0.500 0.500 0.500
Rb1 0.000 0.000 0.000

Summary:
E (eV per cell): -121.1
Symmetry: P4/mmm (123)
M_tot (Bohr magnetons per cell): 2.977
Density of states at the Fermi level (states/eV per atom): 0.8768
Calculated formation energy (eV per formula unit): 12.75



Entry 3:
Computed, not measured: a PBEsol-optimized structure of HfFeRu2O at the meta-GGA SCAN level of DFT.

a b c (Å): 4.149 3.997 3.997
angles (deg): 90.00 90.00 90.00
Atoms (fractional coordinates):
Ru1 0.000 0.000 0.500
Ru2 0.000 0.500 0.000
Hf1 0.500 0.000 0.000
Fe1 0.500 0.500 0.500
O1 0.000 0.000 0.000

Summary:
E (eV per cell): -158.9
Raw formation energy (eV per atom): -0.434
Symmetry: P4/mmm (123)
M_tot (Bohr magnetons per cell): 3.101
Density of states at the Fermi level (states/eV per atom): 0.6774



Entry 4:
Computed, not measured: a PBEsol-optimized structure of HfFe3P at the meta-GGA SCAN level of DFT.

a b c (Å): 4.042 4.042 4.042
angles (deg): 90.00 90.00 90.00
Atoms (fractional coordinates):
P1 0.000 0.000 0.000
Hf1 0.500 0.500 0.500
Fe1 0.000 0.500 0.000
Fe2 0.000 0.000 0.500
Fe3 0.500 0.000 0.000

Summary:
E (eV per cell): -127.2
Symmetry: Pm-3m (221)
M_tot (Bohr magnetons per cell): 2.675
Density of states at the Fermi level (states/eV per atom): 0.8691
Calculated formation energy (eV per formula unit): 0.21



Entry 5:
Computed, not measured: a PBEsol-optimized structure of HfFePb2 at the meta-GGA SCAN level of DFT.

a b c (Å): 4.870 4.870 4.870
angles (deg): 60.00 60.00 60.00
Atoms (fractional coordinates):
Pb1 0.250 0.250 0.250
Pb2 0.750 0.750 0.750
Hf1 0.500 0.500 0.500
Fe1 0.000 0.000 0.000

Summary:
E (eV per cell): -230.7
Symmetry: Fm-3m (225)
M_tot (Bohr magnetons per cell): 2.002
Density of states at the Fermi level (states/eV per atom): 0.7242
Calculated formation energy (eV per formula unit): 1.71



Entry 6:
Computed, not measured: a PBEsol-optimized structure of RbHfFe2Pd at the meta-GGA SCAN level of DFT.

a b c (Å): 4.873 4.905 4.905
angles (deg): 90.00 90.00 90.00
Atoms (fractional coordinates):
Hf1 0.500 0.000 0.000
Rb1 0.500 0.500 0.500
Pd1 0.000 0.000 0.000
Fe1 0.000 0.000 0.500
Fe2 0.000 0.500 0.000

Summary:
E (eV per cell): -148.0
Symmetry: P4/mmm (123)
M_tot (Bohr magnetons per cell): 6.304
Density of states at the Fermi level (states/eV per atom): 1.0377
Calculated formation energy (eV per formula unit): 4.43



Entry 7:
Computed, not measured: a PBEsol-optimized structure of Hf3FePt at the meta-GGA SCAN level of DFT.

a b c (Å): 4.611 4.611 4.611
angles (deg): 90.00 90.00 90.00
Atoms (fractional coordinates):
Hf1 0.000 0.500 0.000
Hf2 0.000 0.000 0.500
Hf3 0.500 0.000 0.000
Fe1 0.000 0.000 0.000
Pt1 0.500 0.500 0.500

Summary:
E (eV per cell): -276.0
Symmetry: Pm-3m (221)
M_tot (Bohr magnetons per cell): 0.000
Density of states at the Fermi level (states/eV per atom): 1.0526
Calculated formation energy (eV per formula unit): 0.31



Entry 8:
Computed, not measured: a PBEsol-optimized structure of HfFe3Rh at the meta-GGA SCAN level of DFT.

a b c (Å): 4.377 4.377 4.377
angles (deg): 90.00 90.00 90.00
Atoms (fractional coordinates):
Rh1 0.500 0.500 0.500
Hf1 0.000 0.000 0.000
Fe1 0.000 0.500 0.000
Fe2 0.000 0.000 0.500
Fe3 0.500 0.000 0.000

Summary:
E (eV per cell): -142.5
Symmetry: Pm-3m (221)
M_tot (Bohr magnetons per cell): 7.082
Density of states at the Fermi level (states/eV per atom): 1.2506
Calculated formation energy (eV per formula unit): 8.36